No. 1
Density functional theory data (PBE) for an optimized crystal structure of Ac2SnGe.

Values from the calculation:
space-group type = P2_1/m (11)
formation energy = -0.69 eV/atom
energy = -39.23 eV/cell

Cell: 6.544 4.415 9.551 Å, 90.00 107.02 90.00°
Sites, in units of the cell vectors:
Ac  0.198  0.250  0.423
Ac  0.282  0.750  0.062
Ac  0.718  0.250  0.938
Ac  0.802  0.750  0.577
Sn  0.368  0.750  0.712
Sn  0.632  0.250  0.288
Ge  0.126  0.250  0.792
Ge  0.874  0.750  0.208


No. 2
Density functional theory data (PBE) for an optimized crystal structure of Dy3ScSi6.

Values from the calculation:
space-group type = R-3c (167)
energy = -117.98 eV/cell

Cell: 7.414 7.414 7.414 Å, 97.76 97.76 97.76°
Sites, in units of the cell vectors:
Dy  0.186  0.750  0.314
Dy  0.250  0.686  0.814
Dy  0.314  0.186  0.750
Dy  0.686  0.814  0.250
Dy  0.750  0.314  0.186
Dy  0.814  0.250  0.686
Sc  0.000  0.000  0.000
Sc  0.500  0.500  0.500
Si  0.016  0.090  0.378
Si  0.090  0.378  0.016
Si  0.122  0.410  0.484
Si  0.378  0.016  0.090
Si  0.410  0.484  0.122
Si  0.484  0.122  0.410
Si  0.516  0.878  0.590
Si  0.590  0.516  0.878
Si  0.622  0.984  0.910
Si  0.878  0.590  0.516
Si  0.910  0.622  0.984
Si  0.984  0.910  0.622


No. 3
Density functional theory data (PBE) for an optimized crystal structure of Hg3PS.

Values from the calculation:
space-group type = Pm-3m (221)
excess energy over the best structure of this formula in the dataset = 0 meV/atom
energy = -8.52 eV/cell

Cell: 5.066 5.066 5.066 Å, 90.00 90.00 90.00°
Sites, in units of the cell vectors:
Hg  0.000  0.000  0.500
Hg  0.000  0.500  0.000
Hg  0.500  0.000  0.000
P  0.000  0.000  0.000
S  0.500  0.500  0.500


No. 4
Density functional theory data (PBE) for an optimized crystal structure of CuP2RhO.

Values from the calculation:
space-group type = P4/mmm (123)
excess energy over the best structure of this formula in the dataset = 0 meV/atom
energy = -24.83 eV/cell

Cell: 4.765 4.765 3.653 Å, 90.00 90.00 90.00°
Sites, in units of the cell vectors:
Cu  0.000  0.000  0.000
P  0.000  0.500  0.500
P  0.500  0.000  0.500
Rh  0.500  0.500  0.500
O  0.500  0.500  0.000


No. 5
Density functional theory data (PBE) for an optimized crystal structure of AgHg3.

Values from the calculation:
space-group type = Pnma (62)
formation energy = 0.07 eV/atom
energy = -13.96 eV/cell

Cell: 8.345 8.786 5.400 Å, 90.00 90.00 90.00°
Sites, in units of the cell vectors:
Ag  0.133  0.250  0.074
Ag  0.367  0.750  0.574
Ag  0.633  0.250  0.426
Ag  0.867  0.750  0.926
Hg  0.021  0.750  0.415
Hg  0.175  0.564  0.918
Hg  0.175  0.936  0.918
Hg  0.325  0.064  0.418
Hg  0.325  0.436  0.418
Hg  0.479  0.250  0.915
Hg  0.521  0.750  0.085
Hg  0.675  0.564  0.582
Hg  0.675  0.936  0.582
Hg  0.825  0.064  0.082
Hg  0.825  0.436  0.082
Hg  0.979  0.250  0.585


No. 6
Density functional theory data (PBE) for an optimized crystal structure of BeCd2Fe.

Values from the calculation:
space-group type = Cm (8)
formation energy = 0.35 eV/atom
energy = -12.63 eV/cell

Cell: 5.350 5.350 4.584 Å, 114.08 114.08 31.44°
Sites, in units of the cell vectors:
Be  0.000  0.000  0.000
Cd  0.545  0.545  0.545
Cd  0.757  0.757  0.250
Fe  0.312  0.312  0.803


No. 7
Density functional theory data (PBE) for an optimized crystal structure of HfTeSe.

Values from the calculation:
space-group type = I4mm (107)
excess energy over the best structure of this formula in the dataset = 311 meV/atom
energy = -18.92 eV/cell

Cell: 7.428 7.428 7.428 Å, 154.03 154.03 37.06°
Sites, in units of the cell vectors:
Hf  0.000  0.000  0.000
Te  0.648  0.648  0.000
Se  0.398  0.398  0.000


No. 8
Density functional theory data (PBE) for an optimized crystal structure of Pu2AlPt.

Values from the calculation:
space-group type = P4/mmm (123)
formation energy = -0.23 eV/atom
energy = -39.39 eV/cell

Cell: 3.576 3.576 5.172 Å, 90.00 90.00 90.00°
Sites, in units of the cell vectors:
Pu  0.000  0.500  0.000
Pu  0.500  0.000  0.000
Al  0.000  0.000  0.500
Pt  0.500  0.500  0.500